Record 1
A geometry-optimized Mn2CoNi structure, computed with PBE.

The structure in extended XYZ format:
```
8
Lattice="-3.197 3.197 2.520 3.197 -3.197 2.520 3.197 3.197 -2.520" Properties=species:S:1:pos:R:3 pbc="T T T"
Mn 1.598 1.588 -0.630
Mn 1.609 -1.598 3.150
Mn 1.598 1.609 1.890
Mn 1.588 4.795 0.630
Co 0.000 0.000 0.000
Co 0.000 3.197 1.260
Ni 3.197 0.000 1.260
Ni 0.000 0.000 2.520
```

Total moment (μB per cell): 15.074
VASP energy (hartree per atom): -0.267
Crystal system: tetragonal


Record 2
A geometry-optimized Mn2CoNi structure, computed with PBE.

The structure in extended XYZ format:
```
4
Lattice="2.902 0.000 0.000 0.000 2.902 0.000 0.000 0.000 5.750" Properties=species:S:1:pos:R:3 pbc="T T T"
Mn 0.000 0.000 1.412
Mn 0.000 0.000 4.338
Co 1.451 1.451 0.000
Ni 1.451 1.451 2.875
```

Total moment (μB per cell): 8.747
VASP energy (hartree per atom): -0.287
Crystal system: tetragonal


Which value of total moment does entry 2 give?
8.747 μB per cell